(1)
# LiPm2SiO6

A relaxed LiPm2SiO6 crystal (PBE-GGA, the Alexandria database).

Properties
Space group: P4/mmm (123)
Formation energy (no corrections) in eV/atom: -2.711

Cell and atoms, written as extended XYZ:
```
10
Lattice="5.274 0.000 0.000 0.000 5.274 0.000 0.000 0.000 3.752" Properties=species:S:1:pos:R:3 pbc="T T T"
Li 0.000 0.000 0.000
Pm 0.000 2.637 1.876
Pm 2.637 0.000 1.876
Si 2.637 2.637 0.000
O 0.000 0.000 1.876
O 1.408 1.408 0.000
O 1.408 3.866 0.000
O 2.637 2.637 1.876
O 3.866 1.408 0.000
O 3.866 3.866 0.000
```

(2)
# K2TlAu

A relaxed K2TlAu crystal (PBE-GGA, the Alexandria database).

Properties
Space group: P4/mmm (123)
Formation energy in eV/atom: -0.089

Cell and atoms, written as extended XYZ:
```
4
Lattice="5.350 0.000 0.000 0.000 5.350 0.000 0.000 0.000 4.795" Properties=species:S:1:pos:R:3 pbc="T T T"
K 0.000 2.675 0.000
K 2.675 0.000 0.000
Tl 0.000 0.000 2.398
Au 2.675 2.675 2.398
```